Compound: LiSn3Pd6
Source: Alexandria via LeMat-Bulk
Functional: GGA-PBE
Structure: optimized geometry

```
LiSn3Pd6
1.0
-5.9353 -0.0863 -3.5417
3.7974 -1.2735 -6.3328
-1.4610 -6.8681 2.6157
Li Sn Pd
2 6 12
direct
0.0395 0.1931 0.8069
0.5395 0.8069 0.1931
0.4437 0.9529 0.7078
0.9437 0.7078 0.9529
0.3373 0.4398 0.5602
0.8373 0.5602 0.4398
0.9437 0.0471 0.2922
0.4437 0.2922 0.0471
0.1273 0.7525 0.6559
0.6273 0.6559 0.7525
0.2972 0.5653 0.9299
0.7972 0.9299 0.5653
0.2488 0.9703 0.0297
0.6235 0.2753 0.7247
0.1235 0.7247 0.2753
0.7488 0.0297 0.9703
0.2972 0.0701 0.4347
0.7972 0.4347 0.0701
0.1273 0.3441 0.2475
0.6273 0.2475 0.3441
```

Output
The formation enthalpy at 0 K comes out at -0.424 eV/atom. The space group is Cmc2_1. The size of the total moment is 0.00 μB per formula unit.